SmY3Er5, relaxed, DFT GGA-PBE; crystal system = monoclinic; total magnetic moment = 0.000 Bohr magnetons per cell; E_form = 308 meV per atom; E above lowest polymorph = 0.0000 eV per atom
1.0
3.166 9.081 0.335
-3.166 9.081 0.335
0.000 3.989 10.589
Y Er Sm
6 10 2
Direct
0.346 0.995 0.131
0.000 0.000 0.500
0.000 0.000 0.000
0.995 0.346 0.631
0.005 0.654 0.369
0.654 0.005 0.869
0.467 0.870 0.788
0.393 0.607 0.250
0.149 0.529 0.012
0.529 0.149 0.512
0.471 0.851 0.488
0.533 0.130 0.212
0.130 0.533 0.712
0.851 0.471 0.988
0.607 0.393 0.750
0.870 0.467 0.288
0.136 0.864 0.750
0.864 0.136 0.250


NdEr5Tm7, relaxed, DFT GGA-PBE; crystal system = orthorhombic; total magnetic moment = 0.002 Bohr magnetons per cell; E_form = 257 meV per atom
1.0
-4.524 3.380 3.505
-8.010 -1.281 -2.802
-3.256 -4.563 6.499
Tm Er Nd
7 5 1
Direct
0.266 0.234 0.234
0.272 0.728 0.728
0.579 0.421 0.421
0.518 0.153 0.812
0.518 0.812 0.153
0.019 0.651 0.311
0.019 0.311 0.651
0.001 0.003 0.461
0.534 0.461 0.003
0.534 0.003 0.461
0.769 0.731 0.731
0.001 0.461 0.003
0.968 0.032 0.032


KMgRu2, relaxed, DFT GGA-PBE; crystal system = trigonal; total magnetic moment = 0.815 Bohr magnetons per cell; E_form = 671 meV per atom
1.0
10.277 0.001 0.000
9.885 2.813 0.000
9.885 1.379 2.451
Ru K Mg
2 1 1
Direct
0.011 0.011 0.011
0.489 0.489 0.489
0.250 0.250 0.250
0.750 0.750 0.750